No. 1
A relaxed structure of Dy6P2S3N, computed with PBE-GGA.

Unit cell a=8.7212 b=8.7212 c=7.8200 alpha=103.67 beta=103.67 gamma=25.50
Fractional positions:
Dy  0.0005  0.0005  0.2179
Dy  0.9995  0.9995  0.7821
Dy  0.3337  0.3337  0.4203
Dy  0.3508  0.3508  0.9228
Dy  0.6492  0.6492  0.0772
Dy  0.6663  0.6663  0.5797
P  0.1655  0.1655  0.3307
P  0.8345  0.8345  0.6693
S  0.1685  0.1685  0.8365
S  0.5000  0.5000  0.5000
S  0.8315  0.8315  0.1635
N  0.5000  0.5000  0.0000

Properties
For the uncorrected energy, the calculation gives -6.756 eV/atom. For the spin magnetization, the calculation gives 0.000 μB/f.u. For the formation energy without anion corrections, the calculation gives -1.83 eV/atom.

No. 2
A relaxed structure of Dy4PSe2N, computed with PBE-GGA.

Unit cell a=6.6982 b=3.8565 c=6.9625 alpha=90.00 beta=108.62 gamma=90.00
Fractional positions:
Dy  0.2187  0.0000  0.2072
Dy  0.2389  0.5000  0.7852
Dy  0.7611  0.5000  0.2148
Dy  0.7813  0.0000  0.7928
P  0.5000  0.0000  0.0000
Se  0.0000  0.0000  0.5000
Se  0.5000  0.5000  0.5000
N  0.0000  0.5000  0.0000

Properties
For the uncorrected energy, the calculation gives -6.582 eV/atom. For the spin magnetization, the calculation gives 0.000 μB/f.u. For the formation energy without anion corrections, the calculation gives -1.69 eV/atom.

No. 3
A relaxed structure of Dy8P3Se4N, computed with PBE-GGA.

Unit cell a=8.0583 b=8.0583 c=8.0583 alpha=58.59 beta=58.59 gamma=58.59
Fractional positions:
Dy  0.2428  0.2428  0.2428
Dy  0.2581  0.7288  0.7288
Dy  0.2712  0.2712  0.7419
Dy  0.2712  0.7419  0.2712
Dy  0.7288  0.2581  0.7288
Dy  0.7288  0.7288  0.2581
Dy  0.7419  0.2712  0.2712
Dy  0.7572  0.7572  0.7572
P  0.0000  0.0000  0.5000
P  0.0000  0.5000  0.0000
P  0.5000  0.0000  0.0000
Se  0.0000  0.0000  0.0000
Se  0.0000  0.5000  0.5000
Se  0.5000  0.0000  0.5000
Se  0.5000  0.5000  0.0000
N  0.5000  0.5000  0.5000

Properties
For the uncorrected energy, the calculation gives -6.433 eV/atom. For the spin magnetization, the calculation gives 0.000 μB/f.u. For the formation energy without anion corrections, the calculation gives -1.73 eV/atom.

No. 4
A relaxed structure of DySiP2N6, computed with PBE-GGA.

Unit cell a=6.9115 b=6.9115 c=5.6346 alpha=108.40 beta=108.40 gamma=90.56
Fractional positions:
Dy  0.1258  0.8742  0.7500
Dy  0.8742  0.1258  0.2500
Si  0.2036  0.7964  0.2500
Si  0.7964  0.2036  0.7500
P  0.2367  0.3913  0.8568
P  0.3913  0.2367  0.3568
P  0.6087  0.7633  0.6432
P  0.7633  0.6087  0.1432
N  0.0377  0.2134  0.7085
N  0.1876  0.6258  0.9511
N  0.2134  0.0377  0.2085
N  0.3310  0.3771  0.6156
N  0.3742  0.8124  0.5489
N  0.3771  0.3310  0.1156
N  0.6229  0.6690  0.8844
N  0.6258  0.1876  0.4511
N  0.6690  0.6229  0.3844
N  0.7866  0.9623  0.7915
N  0.8124  0.3742  0.0489
N  0.9623  0.7866  0.2915

Properties
For the uncorrected energy, the calculation gives -7.753 eV/atom. For the spin magnetization, the calculation gives 0.960 μB/f.u. For the formation energy without anion corrections, the calculation gives -0.67 eV/atom.

No. 5
A relaxed structure of Sr3DyP2N6, computed with PBE-GGA.

Unit cell a=5.8535 b=5.8535 c=6.8869 alpha=90.00 beta=90.00 gamma=120.00
Fractional positions:
Sr  0.0000  0.0000  0.0000
Sr  0.3333  0.6667  0.7030
Sr  0.6667  0.3333  0.2970
Dy  0.0000  0.0000  0.5000
P  0.3333  0.6667  0.2492
P  0.6667  0.3333  0.7508
N  0.1777  0.3553  0.2824
N  0.1777  0.8223  0.2824
N  0.3553  0.1777  0.7176
N  0.6447  0.8223  0.2824
N  0.8223  0.1777  0.7176
N  0.8223  0.6447  0.7176

Properties
For the uncorrected energy, the calculation gives -6.833 eV/atom. For the spin magnetization, the calculation gives 0.304 μB/f.u. For the formation energy without anion corrections, the calculation gives -0.96 eV/atom.

No. 6
A relaxed structure of SrDy2P2N6, computed with PBE-GGA.

Unit cell a=5.4018 b=5.9767 c=6.0963 alpha=118.63 beta=100.52 gamma=101.63
Fractional positions:
Sr  0.0000  0.0000  0.0000
Dy  0.2255  0.7338  0.4368
Dy  0.7745  0.2662  0.5632
P  0.3623  0.4578  0.7957
P  0.6377  0.5422  0.2043
N  0.2161  0.6515  0.7603
N  0.2998  0.1706  0.5182
N  0.3009  0.4182  0.0452
N  0.6991  0.5818  0.9548
N  0.7002  0.8294  0.4818
N  0.7839  0.3485  0.2397

Properties
For the uncorrected energy, the calculation gives -7.599 eV/atom. For the spin magnetization, the calculation gives 0.000 μB/f.u. For the formation energy without anion corrections, the calculation gives -1.08 eV/atom.

No. 7
A relaxed structure of Sr2DyPN4, computed with PBE-GGA.

Unit cell a=12.0983 b=11.0431 c=6.1809 alpha=84.20 beta=65.25 gamma=30.55
Fractional positions:
Sr  0.0639  0.0639  0.6861
Sr  0.3139  0.3139  0.9361
Sr  0.6861  0.6861  0.0639
Sr  0.9361  0.9361  0.3139
Dy  0.1250  0.1250  0.1250
Dy  0.8750  0.8750  0.8750
P  0.3750  0.3750  0.3750
P  0.6250  0.6250  0.6250
N  0.0538  0.6135  0.4988
N  0.3339  0.4988  0.6135
N  0.3865  0.9462  0.6661
N  0.4988  0.3339  0.0538
N  0.5012  0.6661  0.9462
N  0.6135  0.0538  0.3339
N  0.6661  0.5012  0.3865
N  0.9462  0.3865  0.5012

Properties
For the uncorrected energy, the calculation gives -6.314 eV/atom. For the spin magnetization, the calculation gives 0.000 μB/f.u. For the formation energy without anion corrections, the calculation gives -0.48 eV/atom.

No. 8
A relaxed structure of Dy8Te4P3N, computed with PBE-GGA.

Unit cell a=8.4268 b=8.4268 c=8.4268 alpha=57.14 beta=57.14 gamma=57.14
Fractional positions:
Dy  0.2365  0.2365  0.2365
Dy  0.2536  0.7228  0.7228
Dy  0.2772  0.2772  0.7464
Dy  0.2772  0.7464  0.2772
Dy  0.7228  0.2536  0.7228
Dy  0.7228  0.7228  0.2536
Dy  0.7464  0.2772  0.2772
Dy  0.7635  0.7635  0.7635
Te  0.0000  0.0000  0.0000
Te  0.0000  0.5000  0.5000
Te  0.5000  0.0000  0.5000
Te  0.5000  0.5000  0.0000
P  0.0000  0.0000  0.5000
P  0.0000  0.5000  0.0000
P  0.5000  0.0000  0.0000
N  0.5000  0.5000  0.5000

Properties
For the uncorrected energy, the calculation gives -6.104 eV/atom. For the spin magnetization, the calculation gives 0.000 μB/f.u. For the formation energy without anion corrections, the calculation gives -1.48 eV/atom.

No. 9
A relaxed structure of Dy4Te2PN, computed with PBE-GGA.

Unit cell a=6.8387 b=3.9436 c=7.3443 alpha=90.00 beta=108.04 gamma=90.00
Fractional positions:
Dy  0.2132  0.0000  0.1925
Dy  0.2423  0.5000  0.8034
Dy  0.7577  0.5000  0.1966
Dy  0.7868  0.0000  0.8075
Te  0.0000  0.0000  0.5000
Te  0.5000  0.5000  0.5000
P  0.5000  0.0000  0.0000
N  0.0000  0.5000  0.0000

Properties
For the uncorrected energy, the calculation gives -6.231 eV/atom. For the spin magnetization, the calculation gives 0.000 μB/f.u. For the formation energy without anion corrections, the calculation gives -1.43 eV/atom.

No. 10
A relaxed structure of DyThPN, computed with PBE-GGA.

Unit cell a=4.3636 b=4.3636 c=9.0562 alpha=90.00 beta=90.00 gamma=90.00
Fractional positions:
Dy  0.2500  0.7500  0.0000
Dy  0.7500  0.2500  0.0000
Th  0.2500  0.2500  0.3879
Th  0.7500  0.7500  0.6121
P  0.2500  0.2500  0.8125
P  0.7500  0.7500  0.1875
N  0.2500  0.7500  0.5000
N  0.7500  0.2500  0.5000

Properties
For the uncorrected energy, the calculation gives -7.692 eV/atom. For the spin magnetization, the calculation gives 0.000 μB/f.u. For the formation energy without anion corrections, the calculation gives -1.25 eV/atom.

No. 11
A relaxed structure of DyUPN2, computed with PBE-GGA.

Unit cell a=6.4340 b=6.4340 c=6.4340 alpha=145.95 beta=145.95 gamma=48.92
Fractional positions:
Dy  0.0000  0.0000  0.0000
U  0.3032  0.3032  0.0000
P  0.6605  0.6605  0.0000
N  0.3892  0.8892  0.5000
N  0.8892  0.3892  0.5000

Properties
For the uncorrected energy, the calculation gives -8.896 eV/atom. For the spin magnetization, the calculation gives 0.000 μB/f.u. For the formation energy without anion corrections, the calculation gives -1.31 eV/atom.

No. 12
A relaxed structure of DyZn2PN4, computed with PBE-GGA.

Unit cell a=5.1325 b=5.1325 c=5.1325 alpha=121.24 beta=121.24 gamma=87.87
Fractional positions:
Dy  0.0000  0.0000  0.0000
Zn  0.2500  0.7500  0.5000
Zn  0.7500  0.2500  0.5000
P  0.5000  0.5000  0.0000
N  0.1810  0.1810  0.6085
N  0.4275  0.8190  0.0000
N  0.5725  0.5725  0.3915
N  0.8190  0.4275  0.0000

Properties
For the uncorrected energy, the calculation gives -6.444 eV/atom. For the spin magnetization, the calculation gives 0.000 μB/f.u. For the formation energy without anion corrections, the calculation gives -0.71 eV/atom.